Entry 1:
VASP calculation (GGA-PBE) on an optimized crystal structure of KIrCl5.

Computed properties:
The formation energy (no corrections) comes out at -0.81 eV/atom.

Cell: 13.644 7.467 9.000 Å, 90.00 109.93 90.00°
Space group C2/c (No. 15)
Asymmetric unit:
K 0.000 0.023 0.250 (multiplicity 4)
Ir 0.000 0.500 0.000 (multiplicity 4)
Cl 0.000 0.397 0.750 (multiplicity 4)
Cl 0.127 0.279 0.529 (multiplicity 8)
Cl 0.130 0.287 0.105 (multiplicity 8)

=====

Entry 2:
VASP calculation (GGA-PBE) on an optimized crystal structure of KIrCl2.

Computed properties:
The formation energy (no corrections) comes out at 0.15 eV/atom.

Cell: 6.995 6.995 6.995 Å, 90.00 90.00 90.00°
Space group Fm-3m (No. 225)
Asymmetric unit:
K 0.000 0.000 0.000 (multiplicity 4)
Ir 0.000 0.000 0.500 (multiplicity 4)
Cl 0.250 0.250 0.250 (multiplicity 8)

=====

Entry 3:
VASP calculation (GGA-PBE) on an optimized crystal structure of KIrCl.

Computed properties:
The formation energy (no corrections) comes out at 0.88 eV/atom.

Cell: 6.844 6.844 6.844 Å, 90.00 90.00 90.00°
Space group F-43m (No. 216)
Asymmetric unit:
K 0.000 0.000 0.000 (multiplicity 4)
Ir 0.000 0.000 0.500 (multiplicity 4)
Cl 0.250 0.250 0.250 (multiplicity 4)

=====

| no. | M_tot (μB/atom) | distance to the lowest polymorph of the same formula (meV/atom) |
| --- | --- | --- |
| 1 | 0.154 | 0.0 |
| 2 | 0.517 | 670.2 |
| 3 | 0.612 | 1470.4 |